# 1
DFT (PBE) results for an optimized crystal structure of Mn2Ni2Pd.

Output
formation energy = 6.15 kcal/mol of atoms
density of states at the Fermi level = 12.1 states/eV/f.u.

a b c (Å): 6.828 6.828 2.562
angles (deg): 90.00 90.00 90.00
Space group P4/mbm (No. 127)
One atom of each set of equivalent atoms:
Mn: 0.173 0.327 0.000 (multiplicity 4)
Ni: 0.122 0.622 0.500 (multiplicity 4)
Pd: 0.000 0.000 0.500 (multiplicity 2)


# 2
DFT (PBE) results for an optimized crystal structure of MnNi2Pd3.

Output
formation energy = -0.74 kcal/mol of atoms
density of states at the Fermi level = 7.7 states/eV/f.u.

a b c (Å): 4.429 13.290 5.688
angles (deg): 90.00 90.00 90.00
Space group Cmmm (No. 65)
One atom of each set of equivalent atoms:
Mn: 0.000 0.166 0.000 (multiplicity 4)
Ni: 0.000 0.171 0.500 (multiplicity 4)
Ni: 0.000 0.500 0.000 (multiplicity 2)
Ni: 0.000 0.500 0.500 (multiplicity 2)
Pd: 0.000 0.000 0.256 (multiplicity 4)
Pd: 0.000 0.336 0.255 (multiplicity 8)


# 3
DFT (PBE) results for an optimized crystal structure of Mn3NiPd.

Output
formation energy = 27.22 kcal/mol of atoms
density of states at the Fermi level = 4.3 states/eV/f.u.

a b c (Å): 4.764 4.764 4.764
angles (deg): 90.00 90.00 90.00
Space group Pm-3m (No. 221)
One atom of each set of equivalent atoms:
Mn: 0.000 0.000 0.500 (multiplicity 3)
Ni: 0.500 0.500 0.500 (multiplicity 1)
Pd: 0.000 0.000 0.000 (multiplicity 1)


# 4
DFT (PBE) results for an optimized crystal structure of MnNi2PdPt.

Output
formation energy = -3.08 kcal/mol of atoms
density of states at the Fermi level = 5.8 states/eV/f.u.

a b c (Å): 5.906 3.790 6.000
angles (deg): 90.00 90.59 90.00
Space group P2_1/m (No. 11)
One atom of each set of equivalent atoms:
Mn: 0.060 0.250 0.328 (multiplicity 2)
Ni: 0.158 0.750 0.045 (multiplicity 2)
Ni: 0.454 0.250 0.140 (multiplicity 2)
Pd: 0.341 0.750 0.442 (multiplicity 2)
Pt: 0.237 0.250 0.762 (multiplicity 2)